1.
## La2Tb6PrHo3 (PBE)

Data for a relaxed La2Tb6PrHo3 crystal.

The value obtained for the formation energy is 0.02 eV per atom. The density of states at the Fermi level is 16.8 states/eV per cell. The calculation puts the volume at 32.9 Å³/atom.

Unit cell a=6.234 b=6.234 c=11.913 alpha=95.00 beta=95.00 gamma=120.01
Element x y z (fractional)
Tb 0.581 0.914 0.744
Tb 0.086 0.419 0.256
Tb 0.247 0.247 0.744
Tb 0.419 0.086 0.256
Tb 0.753 0.753 0.256
Tb 0.914 0.581 0.744
Ho 0.167 0.833 0.500
Ho 0.833 0.167 0.500
Ho 0.500 0.500 0.500
La 0.666 0.334 0.000
La 0.334 0.666 0.000
Pr 0.000 0.000 0.000



2.
## ZrPd2Pt (PBE)

Data for a relaxed ZrPd2Pt crystal.

The value obtained for the formation energy is -0.89 eV per atom. The density of states at the Fermi level is 2.3 states/eV per cell. The calculation puts the volume at 16.5 Å³/atom.

Unit cell a=4.687 b=5.717 c=5.686 alpha=119.82 beta=90.00 gamma=90.00
Element x y z (fractional)
Zr 0.750 0.660 0.330
Zr 0.250 0.340 0.670
Pt 0.750 0.668 0.834
Pt 0.250 0.332 0.166
Pd 0.750 0.160 0.327
Pd 0.250 0.840 0.167
Pd 0.250 0.840 0.673
Pd 0.750 0.160 0.833



3.
## TbDy5Ho3 (PBE)

Data for a relaxed TbDy5Ho3 crystal.

The value obtained for the formation energy is 0.14 eV per atom. The density of states at the Fermi level is 24.2 states/eV per cell. The calculation puts the volume at 31.6 Å³/atom.

Unit cell a=9.183 b=10.413 c=7.186 alpha=110.17 beta=90.00 gamma=116.16
Element x y z (fractional)
Dy 0.663 0.000 0.250
Dy 0.843 0.326 0.161
Dy 0.157 0.674 0.839
Dy 0.337 0.000 0.750
Dy 0.843 0.326 0.665
Dy 0.157 0.674 0.335
Dy 0.517 0.674 0.339
Dy 0.517 0.674 0.835
Dy 0.483 0.326 0.661
Dy 0.483 0.326 0.165
Ho 0.186 0.368 0.934
Ho 0.814 0.632 0.066
Ho 0.183 0.368 0.434
Ho 0.000 0.000 0.500
Ho 0.000 0.000 0.000
Ho 0.817 0.632 0.566
Tb 0.699 0.000 0.750
Tb 0.301 0.000 0.250



4.
## HgMo3 (PBE)

Data for a relaxed HgMo3 crystal.

The value obtained for the formation energy is 0.43 eV per atom. The density of states at the Fermi level is 3.3 states/eV per cell. The calculation puts the volume at 16.6 Å³/atom.

Unit cell a=4.051 b=4.051 c=4.051 alpha=90.00 beta=90.00 gamma=90.00
Element x y z (fractional)
Hg 0.000 0.000 0.000
Mo 0.000 0.500 0.500
Mo 0.500 0.500 0.000
Mo 0.500 0.000 0.500



5.
## RbLiCdCu2 (PBE)

Data for a relaxed RbLiCdCu2 crystal.

The value obtained for the formation energy is 0.37 eV per atom. The density of states at the Fermi level is 2.3 states/eV per cell. The calculation puts the volume at 27.3 Å³/atom.

Unit cell a=5.134 b=5.179 c=5.134 alpha=90.00 beta=90.00 gamma=90.00
Element x y z (fractional)
Cu 0.500 0.000 0.000
Cu 0.000 0.000 0.500
Cd 0.000 0.000 0.000
Rb 0.500 0.500 0.500
Li 0.000 0.500 0.000



6.
## BaSr6Li (PBE)

Data for a relaxed BaSr6Li crystal.

The value obtained for the formation energy is 0.03 eV per atom. The density of states at the Fermi level is 9.0 states/eV per cell. The calculation puts the volume at 52.3 Å³/atom.

Unit cell a=4.589 b=9.550 c=9.550 alpha=90.00 beta=90.00 gamma=90.00
Element x y z (fractional)
Sr 0.000 0.777 0.777
Sr 0.000 0.223 0.223
Sr 0.000 0.223 0.777
Sr 0.500 0.500 0.000
Sr 0.000 0.777 0.223
Sr 0.500 0.000 0.500
Ba 0.500 0.500 0.500
Li 0.500 0.000 0.000



7.
## Na3ZnHg2 (PBE)

Data for a relaxed Na3ZnHg2 crystal.

The value obtained for the formation energy is -0.15 eV per atom. The density of states at the Fermi level is 7.9 states/eV per cell. The calculation puts the volume at 26.2 Å³/atom.

Unit cell a=4.803 b=10.807 c=12.126 alpha=90.00 beta=90.00 gamma=90.00
Element x y z (fractional)
Zn 0.250 0.417 0.607
Zn 0.750 0.583 0.393
Zn 0.750 0.917 0.893
Zn 0.250 0.083 0.107
Hg 0.750 0.162 0.011
Hg 0.250 0.520 0.816
Hg 0.750 0.338 0.511
Hg 0.750 0.020 0.684
Hg 0.250 0.980 0.316
Hg 0.250 0.662 0.489
Hg 0.250 0.838 0.989
Hg 0.750 0.480 0.184
Na 0.750 0.632 0.960
Na 0.250 0.819 0.721
Na 0.750 0.181 0.279
Na 0.750 0.319 0.779
Na 0.250 0.393 0.346
Na 0.250 0.368 0.040
Na 0.750 0.893 0.154
Na 0.250 0.681 0.221
Na 0.250 0.132 0.540
Na 0.750 0.607 0.654
Na 0.750 0.868 0.460
Na 0.250 0.107 0.846



8.
## MgAlZn2B (PBE)

Data for a relaxed MgAlZn2B crystal.

The value obtained for the formation energy is 0.74 eV per atom. The density of states at the Fermi level is 2.1 states/eV per cell. The calculation puts the volume at 19.6 Å³/atom.

Unit cell a=4.944 b=4.013 c=4.944 alpha=90.00 beta=90.00 gamma=90.00
Element x y z (fractional)
Mg 0.500 0.500 0.500
Zn 0.000 0.000 0.500
Zn 0.500 0.000 0.000
Al 0.000 0.000 0.000
B 0.000 0.500 0.000



9.
## HfMn2I (PBE)

Data for a relaxed HfMn2I crystal.

For the final energy, the calculation gives -6.77 eV/atom. The density of states at the Fermi level is 7.6 states/eV per cell. The calculation puts the volume at 20.6 Å³/atom.

Unit cell a=7.623 b=7.623 c=6.089 alpha=51.24 beta=51.24 gamma=90.00
Element x y z (fractional)
Mn 0.138 0.625 0.250
Mn 0.612 0.125 0.250
Mn 0.375 0.388 0.750
Mn 0.875 0.862 0.750
I 0.250 0.750 0.500
I 0.500 0.500 0.000
Hf 0.750 0.250 0.500
Hf 0.000 0.000 0.000



10.
## Pm4Zn3Sn (PBE)

Data for a relaxed Pm4Zn3Sn crystal.

The value obtained for the formation energy is -0.42 eV per atom. The density of states at the Fermi level is 8.9 states/eV per cell. The calculation puts the volume at 25.7 Å³/atom.

Unit cell a=5.235 b=5.235 c=9.180 alpha=73.43 beta=73.43 gamma=60.00
Element x y z (fractional)
Pm 0.129 0.129 0.613
Pm 0.379 0.379 0.864
Pm 0.621 0.621 0.136
Pm 0.871 0.871 0.387
Zn 0.753 0.753 0.741
Zn 0.500 0.500 0.500
Zn 0.247 0.247 0.259
Sn 0.000 0.000 0.000



11.
## K2Ta (PBE)

Data for a relaxed K2Ta crystal.

The value obtained for the formation energy is 1.13 eV per atom. The density of states at the Fermi level is 6.2 states/eV per cell. The calculation puts the volume at 41.2 Å³/atom.

Unit cell a=7.477 b=7.477 c=7.477 alpha=96.36 beta=96.36 gamma=141.13
Element x y z (fractional)
K 0.660 0.840 0.500
K 0.160 0.660 0.821
K 0.340 0.160 0.500
K 0.840 0.340 0.179
Ta 0.250 0.250 0.000
Ta 0.750 0.750 0.000



12.
## MgF (PBE)

Data for a relaxed MgF crystal.

For the final energy, the calculation gives -3.59 eV/atom. The density of states at the Fermi level is 2.2 states/eV per cell. The calculation puts the volume at 14.8 Å³/atom.

Unit cell a=4.908 b=4.908 c=4.908 alpha=90.00 beta=90.00 gamma=90.00
Element x y z (fractional)
Mg 0.500 0.500 0.500
Mg 0.500 0.000 0.000
Mg 0.000 0.500 0.000
Mg 0.000 0.000 0.500
F 0.500 0.000 0.500
F 0.000 0.500 0.500
F 0.000 0.000 0.000
F 0.500 0.500 0.000